No. 1
The following is a DFT calculation (PBE) of a geometry-optimized Fe2CoAg structure.

```
data_Fe2CoAg
_cell_length_a 3.081
_cell_length_b 4.211
_cell_length_c 8.249
_cell_angle_alpha 90.00
_cell_angle_beta 90.00
_cell_angle_gamma 90.00
_symmetry_space_group_name_H-M 'C m m m'
_symmetry_Int_Tables_number 65
_symmetry_space_group_name_Hall '-C 2 2'
loop_
_atom_site_label
_atom_site_type_symbol
_atom_site_fract_x
_atom_site_fract_y
_atom_site_fract_z
Fe1 Fe 0.000 0.000 0.224
Co1 Co 0.000 0.500 0.000
Ag1 Ag 0.000 0.500 0.500
```

**Crystal system**: orthorhombic
**Energy above the lowest structure with this stoichiometry**: 47 meV per atom
**Formation energy**: 0.252 eV/atom
**Mass density**: 8.6 g/cm3
**Size of the total moment**: 1.839 μB per atom
**E_tot**: -6.469 eV/atom


No. 2
The following is a DFT calculation (PBE) of a geometry-optimized Zn2In2Pd structure.

```
data_Zn2In2Pd
_cell_length_a 3.479
_cell_length_b 3.479
_cell_length_c 16.450
_cell_angle_alpha 90.00
_cell_angle_beta 90.00
_cell_angle_gamma 90.00
_symmetry_space_group_name_H-M 'I 4/m m m'
_symmetry_Int_Tables_number 139
_symmetry_space_group_name_Hall '-I 4 2'
loop_
_atom_site_label
_atom_site_type_symbol
_atom_site_fract_x
_atom_site_fract_y
_atom_site_fract_z
Zn1 Zn 0.000 0.500 0.250
In1 In 0.000 0.000 0.096
Pd1 Pd 0.000 0.000 0.500
```

**Crystal system**: tetragonal
**Energy above the lowest structure with this stoichiometry**: 28 meV per atom
**Formation energy**: -0.032 eV/atom
**Mass density**: 7.8 g/cm3
**Size of the total moment**: 0.000 μB per atom
**E_tot**: -2.676 eV/atom


No. 3
The following is a DFT calculation (PBE) of a geometry-optimized ZrPt2Cl structure.

```
data_ZrPt2Cl
_cell_length_a 3.629
_cell_length_b 3.629
_cell_length_c 5.549
_cell_angle_alpha 90.00
_cell_angle_beta 90.00
_cell_angle_gamma 90.00
_symmetry_space_group_name_H-M 'P 4/m m m'
_symmetry_Int_Tables_number 123
_symmetry_space_group_name_Hall '-P 4 2'
loop_
_atom_site_label
_atom_site_type_symbol
_atom_site_fract_x
_atom_site_fract_y
_atom_site_fract_z
Zr1 Zr 0.000 0.000 0.000
Pt1 Pt 0.500 0.500 0.242
Cl1 Cl 0.000 0.000 0.500
```

**Crystal system**: tetragonal
**Energy above the lowest structure with this stoichiometry**: 116 meV per atom
**Mass density**: 11.7 g/cm3
**Size of the total moment**: 0.000 μB per atom
**Formation energy (no corrections)**: -211 kJ/mol of formula units
**E_tot**: -6.165 eV/atom


> Which of these has the highest size of the total moment?

Fe2CoAg


> Which of these has the highest mass density?

ZrPt2Cl


What did the third record say?
The following is a DFT calculation (PBE) of a geometry-optimized ZrPt2Cl structure.

```
data_ZrPt2Cl
_cell_length_a 3.629
_cell_length_b 3.629
_cell_length_c 5.549
_cell_angle_alpha 90.00
_cell_angle_beta 90.00
_cell_angle_gamma 90.00
_symmetry_space_group_name_H-M 'P 4/m m m'
_symmetry_Int_Tables_number 123
_symmetry_space_group_name_Hall '-P 4 2'
loop_
_atom_site_label
_atom_site_type_symbol
_atom_site_fract_x
_atom_site_fract_y
_atom_site_fract_z
Zr1 Zr 0.000 0.000 0.000
Pt1 Pt 0.500 0.500 0.242
Cl1 Cl 0.000 0.000 0.500
```

**Crystal system**: tetragonal
**Energy above the lowest structure with this stoichiometry**: 116 meV per atom
**Mass density**: 11.7 g/cm3
**Size of the total moment**: 0.000 μB per atom
**Formation energy (no corrections)**: -211 kJ/mol of formula units
**E_tot**: -6.165 eV/atom


> Which formula does entry 2 have?

Zn2In2Pd